An optimized crystal structure of Ce2RuCl. Source: Alexandria, functional PBE-GGA.

Energy relative to the lowest polymorph listed for this composition, meV per atom: 18.5
ΔE_f (raw), kJ/mol of atoms: -86

Cell: 5.7448 3.9599 8.8826 Å, 90.00 90.11 90.00°
Space group P2_1/m (No. 11)
Unique sites:
Ce 0.2480 0.2500 0.1723 [2 per cell]
Ce 0.2508 0.2500 0.6023 [2 per cell]
Ru 0.2490 0.7500 0.3719 [2 per cell]
Cl 0.2520 0.7500 0.8961 [2 per cell]

An optimized crystal structure of AcPm2RhN4. Source: Alexandria, functional PBE-GGA.

ΔE_f (raw), kJ/mol of atoms: -80

Cell: 3.6313 12.0912 12.0005 Å, 90.00 90.00 90.00°
Space group Cmcm (No. 63)
Unique sites:
Ac 0.0000 0.1136 0.2500 [4 per cell]
Pm 0.0000 0.3688 0.0457 [8 per cell]
Rh 0.0000 0.1516 0.7500 [4 per cell]
N 0.0000 0.0000 0.0000 [4 per cell]
N 0.0000 0.2704 0.6270 [8 per cell]
N 0.0000 0.4247 0.2500 [4 per cell]

An optimized crystal structure of PrEuAg2. Source: Alexandria, functional PBE-GGA.

Energy of formation from the pure elements, meV per atom: -270

Cell: 3.8020 3.8020 7.6172 Å, 90.00 90.00 90.00°
Space group P4/mmm (No. 123)
Unique sites:
Pr 0.0000 0.0000 0.0000 [1 per cell]
Eu 0.0000 0.0000 0.5000 [1 per cell]
Ag 0.5000 0.5000 0.2348 [2 per cell]

The evaluated volume for the records listed, in turn: 25.258 16.466 27.527 Å³ per atom.